! SCAN CaNiP2, PBEsol geometry; values from VASP
&SYSTEM
  ibrav = 0, nat = 16, ntyp = 3
/
ATOMIC_SPECIES
Ca 40.08 Ca.upf
Ni 58.69 Ni.upf
P 30.97 P.upf
ATOMIC_POSITIONS crystal
Ca 0.0000 0.0000 0.0000
Ca 0.0000 0.5000 0.5000
Ca 0.5000 0.0000 0.5000
Ca 0.5000 0.5000 0.0000
Ni 0.2500 0.2500 0.7500
Ni 0.2500 0.7500 0.2500
Ni 0.7500 0.2500 0.2500
Ni 0.7500 0.7500 0.7500
P 0.0000 0.0000 0.5000
P 0.0000 0.5000 0.0000
P 0.2500 0.2500 0.2500
P 0.2500 0.7500 0.7500
P 0.5000 0.0000 0.0000
P 0.5000 0.5000 0.5000
P 0.7500 0.2500 0.7500
P 0.7500 0.7500 0.2500
CELL_PARAMETERS angstrom
6.3041 0.0000 0.0000
0.0000 6.3041 0.0000
0.0000 0.0000 6.3041
! - Total moment: 0.0000 μB per atom
! - DOS(E_F): 7.807 states/eV/cell
! - ΔH_f (0 K): 0.19 eV/atom